Entry 1:
Computed, not measured: a relaxed CaInNi2 crystal at the PBE level of DFT.

* total moment: 0.000 μB per formula unit
* E: -4.188 eV per atom

CIF file:
```
data_CaInNi2
_chemical_formula_sum 'Ca4 In4 Ni8'
_cell_length_a 3.9203
_cell_length_b 13.0878
_cell_length_c 5.9330
_cell_angle_alpha 90.00
_cell_angle_beta 90.00
_cell_angle_gamma 90.00
_space_group_name_H-M_alt 'C m c m'
_space_group_IT_number 63
_space_group_name_Hall '-C 2c 2'
loop_
_atom_site_label
_atom_site_type_symbol
_atom_site_fract_x
_atom_site_fract_y
_atom_site_fract_z
Ca1 Ca 0.0000 0.2277 0.2500
In1 In 0.0000 0.0463 0.7500
Ni1 Ni 0.0000 0.4132 0.5523
```

Entry 2:
Computed, not measured: a relaxed Pm4Sm2HoTm crystal at the PBE level of DFT.

* total moment: 0.014 μB per formula unit
* E: -4.287 eV per atom

CIF file:
```
data_Pm4Sm2HoTm
_chemical_formula_sum 'Pm16 Sm8 Ho4 Tm4'
_cell_length_a 13.7175
_cell_length_b 13.2802
_cell_length_c 6.8638
_cell_angle_alpha 90.00
_cell_angle_beta 119.81
_cell_angle_gamma 90.00
_space_group_name_H-M_alt 'C 1 2/c 1'
_space_group_IT_number 15
loop_
_space_group_symop_operation_xyz
'x,y,z'
'-x,-y,-z'
'-x,y,-z+1/2'
'x,-y,z+1/2'
'x+1/2,y+1/2,z'
'-x+1/2,-y+1/2,-z'
'-x+1/2,y+1/2,-z+1/2'
'x+1/2,-y+1/2,z+1/2'
loop_
_atom_site_label
_atom_site_type_symbol
_atom_site_fract_x
_atom_site_fract_y
_atom_site_fract_z
Pm1 Pm 0.0015 0.2456 0.0006
Pm2 Pm 0.2476 0.0017 0.4648
Sm1 Sm 0.0000 0.5000 0.0000
Sm2 Sm 0.2500 0.2500 0.0000
Ho1 Ho 0.2500 0.2500 0.5000
Tm1 Tm 0.0000 0.0000 0.0000
```